# PBE V2Os, relaxed
data_V2Os
_chemical_formula_sum 'V4 Os2'
_cell_length_a 4.252
_cell_length_b 4.252
_cell_length_c 5.210
_cell_angle_alpha 90.00
_cell_angle_beta 90.00
_cell_angle_gamma 120.00
_symmetry_space_group_name_H-M 'P 1'
_symmetry_Int_Tables_number 1
loop_
_symmetry_equiv_pos_as_xyz
'x,y,z'
loop_
_atom_site_label
_atom_site_type_symbol
_atom_site_fract_x
_atom_site_fract_y
_atom_site_fract_z
_atom_site_occupancy
V1 V 0.000 0.000 0.000 1
V2 V 0.000 0.000 0.500 1
V3 V 0.333 0.667 0.161 1
V4 V 0.667 0.333 0.839 1
Os1 Os 0.333 0.667 0.669 1
Os2 Os 0.667 0.333 0.331 1
# Formation energy in eV per atom: -0.3618
# Crystal system: trigonal